! LiSmAgRh, relaxed, DFT PBE; values from VASP
&SYSTEM
  ibrav = 0, nat = 16, ntyp = 4
/
ATOMIC_SPECIES
Li 6.94 Li.upf
Sm 150.36 Sm.upf
Ag 107.87 Ag.upf
Rh 102.91 Rh.upf
ATOMIC_POSITIONS crystal
Li 0.000 0.000 0.000
Li 0.000 0.500 0.500
Li 0.500 0.000 0.500
Li 0.500 0.500 0.000
Sm 0.000 0.000 0.500
Sm 0.000 0.500 0.000
Sm 0.500 0.000 0.000
Sm 0.500 0.500 0.500
Ag 0.250 0.250 0.250
Ag 0.250 0.750 0.750
Ag 0.750 0.250 0.750
Ag 0.750 0.750 0.250
Rh 0.250 0.250 0.750
Rh 0.250 0.750 0.250
Rh 0.750 0.250 0.250
Rh 0.750 0.750 0.750
CELL_PARAMETERS angstrom
6.803 0.000 0.000
0.000 6.803 0.000
0.000 0.000 6.803
! **Calculated volume**: 19.7 A^3/atom
! **Formation energy**: -0.29 eV/atom